Entry 1:
Computed, not measured: crystalline Ce2ThAg at its relaxed geometry at the GGA-PBE level of DFT.

Summary:
- offset from the most stable computed form (meV per atom) = 0
- calculated formation energy (eV per atom) = -0.029
- SG = P4/mmm (123)

Structure (extended XYZ):
```
4
Lattice="3.5189 0.0000 0.0000 0.0000 3.5189 0.0000 0.0000 0.0000 8.8465" Properties=species:S:1:pos:R:3 pbc="T T T"
Ce 0.0000 0.0000 2.0625
Ce 0.0000 0.0000 6.7840
Ag 1.7594 1.7594 0.0000
Th 1.7594 1.7594 4.4233
```

***

Entry 2:
Computed, not measured: crystalline CeThAg2 at its relaxed geometry at the GGA-PBE level of DFT.

Summary:
- offset from the most stable computed form (meV per atom) = 332
- calculated formation energy (eV per atom) = 0.294
- SG = Cmcm (63)

Structure (extended XYZ):
```
8
Lattice="3.2238 0.0000 0.0000 -1.6119 6.2515 0.0000 0.0000 0.0000 10.6346" Properties=species:S:1:pos:R:3 pbc="T T T"
Ag 0.0000 4.4993 5.4070
Ag 1.6119 1.7523 5.2276
Ag 1.6119 1.7523 0.0897
Ce 0.0000 6.1321 2.6586
Ag 0.0000 4.4993 10.5449
Ce 1.6119 0.1194 7.9759
Th 0.0000 2.8480 2.6586
Th 1.6119 3.4035 7.9759
```

***

Entry 3:
Computed, not measured: crystalline CeThAg2 at its relaxed geometry at the GGA-PBE level of DFT.

Summary:
- offset from the most stable computed form (meV per atom) = 0
- calculated formation energy (eV per atom) = -0.037
- SG = P4/mmm (123)

Structure (extended XYZ):
```
4
Lattice="4.4908 0.0000 0.0000 0.0000 4.7066 0.0000 0.0000 0.0000 4.7066" Properties=species:S:1:pos:R:3 pbc="T T T"
Th 2.2454 2.3533 2.3533
Ag 0.0000 2.3533 0.0000
Ce 2.2454 0.0000 0.0000
Ag 0.0000 0.0000 2.3533
```

***

> offset from the most stable computed form of number 3 (CeThAg2)?

0 meV per atom